#P
# MnCuNi2H PBE-GGA relaxed
data_MnCuNi2H
_chemical_formula_sum 'Mn1 Cu1 Ni2 H1'
_cell_length_a 3.684
_cell_length_b 3.684
_cell_length_c 3.663
_cell_angle_alpha 90.00
_cell_angle_beta 90.00
_cell_angle_gamma 90.00
_space_group_name_H-M_alt 'P 4/m m m'
_space_group_IT_number 123
_space_group_name_Hall '-P 4 2'
loop_
_atom_site_label
_atom_site_fract_x
_atom_site_fract_y
_atom_site_fract_z
Mn1 0.000 0.000 0.000
Cu1 0.500 0.500 0.000
Ni1 0.000 0.500 0.500
H1 0.500 0.500 0.500
# crystal system: tetragonal

#Q
# MnCuNi2H PBE-GGA relaxed
data_MnCuNi2H
_chemical_formula_sum 'Mn1 Cu1 Ni2 H1'
_cell_length_a 3.631
_cell_length_b 3.631
_cell_length_c 3.738
_cell_angle_alpha 90.00
_cell_angle_beta 90.00
_cell_angle_gamma 90.00
_space_group_name_H-M_alt 'P 4/m m m'
_space_group_IT_number 123
_space_group_name_Hall '-P 4 2'
loop_
_atom_site_label
_atom_site_fract_x
_atom_site_fract_y
_atom_site_fract_z
Mn1 0.000 0.000 0.000
Cu1 0.500 0.500 0.000
Ni1 0.000 0.500 0.500
H1 0.000 0.000 0.500
# crystal system: tetragonal

#Q (3.5 kJ/mol of atoms below the next structure)

#P
# MnCu2HPd PBE-GGA relaxed
data_MnCu2HPd
_chemical_formula_sum 'Mn1 Cu2 H1 Pd1'
_cell_length_a 3.853
_cell_length_b 3.853
_cell_length_c 3.765
_cell_angle_alpha 90.00
_cell_angle_beta 90.00
_cell_angle_gamma 90.00
_space_group_name_H-M_alt 'P 4/m m m'
_space_group_IT_number 123
_space_group_name_Hall '-P 4 2'
loop_
_atom_site_label
_atom_site_fract_x
_atom_site_fract_y
_atom_site_fract_z
Mn1 0.000 0.000 0.000
Cu1 0.000 0.500 0.500
H1 0.000 0.000 0.500
Pd1 0.500 0.500 0.000
# crystal system: tetragonal

#Q
# MnCu2HPd PBE-GGA relaxed
data_MnCu2HPd
_chemical_formula_sum 'Mn1 Cu2 H1 Pd1'
_cell_length_a 3.853
_cell_length_b 3.853
_cell_length_c 3.880
_cell_angle_alpha 90.00
_cell_angle_beta 90.00
_cell_angle_gamma 90.00
_space_group_name_H-M_alt 'P 4/m m m'
_space_group_IT_number 123
_space_group_name_Hall '-P 4 2'
loop_
_atom_site_label
_atom_site_fract_x
_atom_site_fract_y
_atom_site_fract_z
Mn1 0.000 0.000 0.000
Cu1 0.000 0.500 0.500
H1 0.500 0.500 0.500
Pd1 0.500 0.500 0.000
# crystal system: tetragonal

#P (5.3 kJ/mol of atoms below the next structure)

#P
# MnCu2HPt PBE-GGA relaxed
data_MnCu2HPt
_chemical_formula_sum 'Mn1 Cu2 H1 Pt1'
_cell_length_a 3.835
_cell_length_b 3.835
_cell_length_c 3.802
_cell_angle_alpha 90.00
_cell_angle_beta 90.00
_cell_angle_gamma 90.00
_space_group_name_H-M_alt 'P 4/m m m'
_space_group_IT_number 123
_space_group_name_Hall '-P 4 2'
loop_
_atom_site_label
_atom_site_fract_x
_atom_site_fract_y
_atom_site_fract_z
Mn1 0.000 0.000 0.000
Cu1 0.000 0.500 0.500
H1 0.000 0.000 0.500
Pt1 0.500 0.500 0.000
# crystal system: tetragonal

#Q
# MnCu2HPt PBE-GGA relaxed
data_MnCu2HPt
_chemical_formula_sum 'Mn1 Cu2 H1 Pt1'
_cell_length_a 3.861
_cell_length_b 3.861
_cell_length_c 3.870
_cell_angle_alpha 90.00
_cell_angle_beta 90.00
_cell_angle_gamma 90.00
_space_group_name_H-M_alt 'P 4/m m m'
_space_group_IT_number 123
_space_group_name_Hall '-P 4 2'
loop_
_atom_site_label
_atom_site_fract_x
_atom_site_fract_y
_atom_site_fract_z
Mn1 0.000 0.000 0.000
Cu1 0.000 0.500 0.500
H1 0.500 0.500 0.500
Pt1 0.500 0.500 0.000
# crystal system: tetragonal

#P (5.5 kJ/mol of atoms below the next structure)

#P
# MnCuHPt2 PBE-GGA relaxed
data_MnCuHPt2
_chemical_formula_sum 'Mn1 Cu1 H1 Pt2'
_cell_length_a 3.964
_cell_length_b 3.964
_cell_length_c 3.880
_cell_angle_alpha 90.00
_cell_angle_beta 90.00
_cell_angle_gamma 90.00
_space_group_name_H-M_alt 'P 4/m m m'
_space_group_IT_number 123
_space_group_name_Hall '-P 4 2'
loop_
_atom_site_label
_atom_site_fract_x
_atom_site_fract_y
_atom_site_fract_z
Mn1 0.000 0.000 0.000
Cu1 0.500 0.500 0.000
H1 0.000 0.000 0.500
Pt1 0.000 0.500 0.500
# crystal system: tetragonal

#Q
# MnCuHPt2 PBE-GGA relaxed
data_MnCuHPt2
_chemical_formula_sum 'Mn1 Cu1 H1 Pt2'
_cell_length_a 4.014
_cell_length_b 4.014
_cell_length_c 3.798
_cell_angle_alpha 90.00
_cell_angle_beta 90.00
_cell_angle_gamma 90.00
_space_group_name_H-M_alt 'P 4/m m m'
_space_group_IT_number 123
_space_group_name_Hall '-P 4 2'
loop_
_atom_site_label
_atom_site_fract_x
_atom_site_fract_y
_atom_site_fract_z
Mn1 0.000 0.000 0.000
Cu1 0.500 0.500 0.000
H1 0.500 0.500 0.500
Pt1 0.000 0.500 0.500
# crystal system: tetragonal

#Q (1.5 kJ/mol of atoms below the next structure)

#P
# MnCuHRh2 PBE-GGA relaxed
data_MnCuHRh2
_chemical_formula_sum 'Mn1 Cu1 H1 Rh2'
_cell_length_a 3.934
_cell_length_b 3.934
_cell_length_c 3.663
_cell_angle_alpha 90.00
_cell_angle_beta 90.00
_cell_angle_gamma 90.00
_space_group_name_H-M_alt 'P 4/m m m'
_space_group_IT_number 123
_space_group_name_Hall '-P 4 2'
loop_
_atom_site_label
_atom_site_fract_x
_atom_site_fract_y
_atom_site_fract_z
Mn1 0.000 0.000 0.000
Cu1 0.500 0.500 0.000
H1 0.500 0.500 0.500
Rh1 0.000 0.500 0.500
# crystal system: tetragonal

#Q
# MnCuHRh2 PBE-GGA relaxed
data_MnCuHRh2
_chemical_formula_sum 'Mn1 Cu1 H1 Rh2'
_cell_length_a 4.669
_cell_length_b 4.669
_cell_length_c 2.966
_cell_angle_alpha 90.00
_cell_angle_beta 90.00
_cell_angle_gamma 90.00
_space_group_name_H-M_alt 'P 4/m m m'
_space_group_IT_number 123
_space_group_name_Hall '-P 4 2'
loop_
_atom_site_label
_atom_site_fract_x
_atom_site_fract_y
_atom_site_fract_z
Mn1 0.000 0.000 0.000
Cu1 0.500 0.500 0.500
H1 0.000 0.000 0.500
Rh1 0.000 0.500 0.000
# crystal system: tetragonal

#R
# MnCuHRh2 PBE-GGA relaxed
data_MnCuHRh2
_chemical_formula_sum 'Mn1 Cu1 H1 Rh2'
_cell_length_a 3.879
_cell_length_b 3.879
_cell_length_c 3.779
_cell_angle_alpha 90.00
_cell_angle_beta 90.00
_cell_angle_gamma 90.00
_space_group_name_H-M_alt 'P 4/m m m'
_space_group_IT_number 123
_space_group_name_Hall '-P 4 2'
loop_
_atom_site_label
_atom_site_fract_x
_atom_site_fract_y
_atom_site_fract_z
Mn1 0.000 0.000 0.000
Cu1 0.500 0.500 0.000
H1 0.000 0.000 0.500
Rh1 0.000 0.500 0.500
# crystal system: tetragonal

#P (2.1 kJ/mol of atoms below the next structure)

#P
# Mn2CuHRh PBE-GGA relaxed
data_Mn2CuHRh
_chemical_formula_sum 'Mn2 Cu1 H1 Rh1'
_cell_length_a 3.723
_cell_length_b 3.723
_cell_length_c 3.817
_cell_angle_alpha 90.00
_cell_angle_beta 90.00
_cell_angle_gamma 90.00
_space_group_name_H-M_alt 'P 4/m m m'
_space_group_IT_number 123
_space_group_name_Hall '-P 4 2'
loop_
_atom_site_label
_atom_site_fract_x
_atom_site_fract_y
_atom_site_fract_z
Mn1 0.000 0.500 0.000
Cu1 0.000 0.000 0.500
H1 0.000 0.000 0.000
Rh1 0.500 0.500 0.500
# crystal system: tetragonal

#Q
# Mn2CuHRh PBE-GGA relaxed
data_Mn2CuHRh
_chemical_formula_sum 'Mn2 Cu1 H1 Rh1'
_cell_length_a 3.633
_cell_length_b 3.633
_cell_length_c 3.835
_cell_angle_alpha 90.00
_cell_angle_beta 90.00
_cell_angle_gamma 90.00
_space_group_name_H-M_alt 'P 4/m m m'
_space_group_IT_number 123
_space_group_name_Hall '-P 4 2'
loop_
_atom_site_label
_atom_site_fract_x
_atom_site_fract_y
_atom_site_fract_z
Mn1 0.000 0.500 0.000
Cu1 0.000 0.000 0.500
H1 0.500 0.500 0.000
Rh1 0.500 0.500 0.500
# crystal system: tetragonal

#P (16.8 kJ/mol of atoms below the next structure)

#P
# MnCu2HRh PBE-GGA relaxed
data_MnCu2HRh
_chemical_formula_sum 'Mn1 Cu2 H1 Rh1'
_cell_length_a 3.734
_cell_length_b 3.734
_cell_length_c 3.896
_cell_angle_alpha 90.00
_cell_angle_beta 90.00
_cell_angle_gamma 90.00
_space_group_name_H-M_alt 'P 4/m m m'
_space_group_IT_number 123
_space_group_name_Hall '-P 4 2'
loop_
_atom_site_label
_atom_site_fract_x
_atom_site_fract_y
_atom_site_fract_z
Mn1 0.000 0.000 0.000
Cu1 0.000 0.500 0.500
H1 0.000 0.000 0.500
Rh1 0.500 0.500 0.000
# crystal system: tetragonal

#Q
# MnCu2HRh PBE-GGA relaxed
data_MnCu2HRh
_chemical_formula_sum 'Mn1 Cu2 H1 Rh1'
_cell_length_a 3.836
_cell_length_b 3.836
_cell_length_c 3.785
_cell_angle_alpha 90.00
_cell_angle_beta 90.00
_cell_angle_gamma 90.00
_space_group_name_H-M_alt 'P 4/m m m'
_space_group_IT_number 123
_space_group_name_Hall '-P 4 2'
loop_
_atom_site_label
_atom_site_fract_x
_atom_site_fract_y
_atom_site_fract_z
Mn1 0.000 0.000 0.000
Cu1 0.000 0.500 0.500
H1 0.500 0.500 0.500
Rh1 0.500 0.500 0.000
# crystal system: tetragonal

#Q (7.6 kJ/mol of atoms below the next structure)

#P
# Mn2CuHRu PBE-GGA relaxed
data_Mn2CuHRu
_chemical_formula_sum 'Mn2 Cu1 H1 Ru1'
_cell_length_a 3.724
_cell_length_b 3.724
_cell_length_c 3.737
_cell_angle_alpha 90.00
_cell_angle_beta 90.00
_cell_angle_gamma 90.00
_space_group_name_H-M_alt 'P 4/m m m'
_space_group_IT_number 123
_space_group_name_Hall '-P 4 2'
loop_
_atom_site_label
_atom_site_fract_x
_atom_site_fract_y
_atom_site_fract_z
Mn1 0.000 0.500 0.000
Cu1 0.000 0.000 0.500
H1 0.000 0.000 0.000
Ru1 0.500 0.500 0.500
# crystal system: tetragonal

#Q
# Mn2CuHRu PBE-GGA relaxed
data_Mn2CuHRu
_chemical_formula_sum 'Mn2 Cu1 H1 Ru1'
_cell_length_a 3.749
_cell_length_b 3.749
_cell_length_c 3.773
_cell_angle_alpha 90.00
_cell_angle_beta 90.00
_cell_angle_gamma 90.00
_space_group_name_H-M_alt 'P 4/m m m'
_space_group_IT_number 123
_space_group_name_Hall '-P 4 2'
loop_
_atom_site_label
_atom_site_fract_x
_atom_site_fract_y
_atom_site_fract_z
Mn1 0.000 0.500 0.000
Cu1 0.000 0.000 0.500
H1 0.500 0.500 0.000
Ru1 0.500 0.500 0.500
# crystal system: tetragonal

#Q (3.5 kJ/mol of atoms below the next structure)

#P
# TaMn2CuH PBE-GGA relaxed
data_TaMn2CuH
_chemical_formula_sum 'Ta1 Mn2 Cu1 H1'
_cell_length_a 3.928
_cell_length_b 3.928
_cell_length_c 3.539
_cell_angle_alpha 90.00
_cell_angle_beta 90.00
_cell_angle_gamma 90.00
_space_group_name_H-M_alt 'P 4/m m m'
_space_group_IT_number 123
_space_group_name_Hall '-P 4 2'
loop_
_atom_site_label
_atom_site_fract_x
_atom_site_fract_y
_atom_site_fract_z
Ta1 0.000 0.000 0.000
Mn1 0.000 0.500 0.500
Cu1 0.500 0.500 0.000
H1 0.500 0.500 0.500
# crystal system: tetragonal

#Q
# TaMn2CuH PBE-GGA relaxed
data_TaMn2CuH
_chemical_formula_sum 'Ta1 Mn2 Cu1 H1'
_cell_length_a 3.765
_cell_length_b 3.765
_cell_length_c 3.890
_cell_angle_alpha 90.00
_cell_angle_beta 90.00
_cell_angle_gamma 90.00
_space_group_name_H-M_alt 'P 4/m m m'
_space_group_IT_number 123
_space_group_name_Hall '-P 4 2'
loop_
_atom_site_label
_atom_site_fract_x
_atom_site_fract_y
_atom_site_fract_z
Ta1 0.000 0.000 0.000
Mn1 0.000 0.500 0.500
Cu1 0.500 0.500 0.000
H1 0.000 0.000 0.500
# crystal system: tetragonal

#P (1.9 kJ/mol of atoms below the next structure)

#P
# Mn2ZnCuH PBE-GGA relaxed
data_Mn2ZnCuH
_chemical_formula_sum 'Mn2 Zn1 Cu1 H1'
_cell_length_a 3.790
_cell_length_b 3.790
_cell_length_c 3.752
_cell_angle_alpha 90.00
_cell_angle_beta 90.00
_cell_angle_gamma 90.00
_space_group_name_H-M_alt 'P 4/m m m'
_space_group_IT_number 123
_space_group_name_Hall '-P 4 2'
loop_
_atom_site_label
_atom_site_fract_x
_atom_site_fract_y
_atom_site_fract_z
Mn1 0.000 0.500 0.000
Zn1 0.000 0.000 0.500
Cu1 0.500 0.500 0.500
H1 0.500 0.500 0.000
# crystal system: tetragonal

#Q
# Mn2ZnCuH PBE-GGA relaxed
data_Mn2ZnCuH
_chemical_formula_sum 'Mn2 Zn1 Cu1 H1'
_cell_length_a 3.705
_cell_length_b 3.705
_cell_length_c 3.931
_cell_angle_alpha 90.00
_cell_angle_beta 90.00
_cell_angle_gamma 90.00
_space_group_name_H-M_alt 'P 4/m m m'
_space_group_IT_number 123
_space_group_name_Hall '-P 4 2'
loop_
_atom_site_label
_atom_site_fract_x
_atom_site_fract_y
_atom_site_fract_z
Mn1 0.000 0.500 0.000
Zn1 0.000 0.000 0.500
Cu1 0.500 0.500 0.500
H1 0.000 0.000 0.000
# crystal system: tetragonal

#P (7.1 kJ/mol of atoms below the next structure)

#P
# CuMoH PBE-GGA relaxed
data_CuMoH
_chemical_formula_sum 'Cu2 Mo2 H2'
_cell_length_a 2.7250
_cell_length_b 2.7250
_cell_length_c 11.0704
_cell_angle_alpha 90.00
_cell_angle_beta 90.00
_cell_angle_gamma 120.00
_space_group_name_H-M_alt 'P 63/m m c'
_space_group_IT_number 194
_space_group_name_Hall '-P 6c 2c'
loop_
_atom_site_label
_atom_site_fract_x
_atom_site_fract_y
_atom_site_fract_z
Cu1 0.0000 0.0000 0.2500
Mo1 0.0000 0.0000 0.0000
H1 0.3333 0.6667 0.2500
# crystal system: hexagonal

#Q
# CuMoH PBE-GGA relaxed
data_CuMoH
_chemical_formula_sum 'Cu4 Mo4 H4'
_cell_length_a 5.237
_cell_length_b 4.229
_cell_length_c 5.638
_cell_angle_alpha 90.00
_cell_angle_beta 90.00
_cell_angle_gamma 90.00
_space_group_name_H-M_alt 'P n m a'
_space_group_IT_number 62
_space_group_name_Hall '-P 2ac 2n'
loop_
_atom_site_label
_atom_site_fract_x
_atom_site_fract_y
_atom_site_fract_z
Cu1 0.079 0.250 0.083
Mo1 0.089 0.250 0.616
H1 0.097 0.750 0.662
# crystal system: orthorhombic

#R
# CuMoH PBE-GGA relaxed
data_CuMoH
_chemical_formula_sum 'Cu4 Mo4 H4'
_cell_length_a 6.303
_cell_length_b 3.700
_cell_length_c 5.157
_cell_angle_alpha 90.00
_cell_angle_beta 90.00
_cell_angle_gamma 90.00
_space_group_name_H-M_alt 'P n m a'
_space_group_IT_number 62
_space_group_name_Hall '-P 2ac 2n'
loop_
_atom_site_label
_atom_site_fract_x
_atom_site_fract_y
_atom_site_fract_z
Cu1 0.044 0.250 0.129
Mo1 0.163 0.250 0.621
H1 0.141 0.750 0.449
# crystal system: orthorhombic

#Q (1.6 kJ/mol of atoms below the next structure)

#P
# Cu3MoH PBE-GGA relaxed
data_Cu3MoH
_chemical_formula_sum 'Cu3 Mo1 H1'
_cell_length_a 3.803
_cell_length_b 3.803
_cell_length_c 3.803
_cell_angle_alpha 90.00
_cell_angle_beta 90.00
_cell_angle_gamma 90.00
_space_group_name_H-M_alt 'P m -3 m'
_space_group_IT_number 221
_space_group_name_Hall '-P 4 2 3'
loop_
_atom_site_label
_atom_site_fract_x
_atom_site_fract_y
_atom_site_fract_z
Cu1 0.000 0.000 0.500
Mo1 0.500 0.500 0.500
H1 0.000 0.000 0.000
# crystal system: cubic

#Q
# Cu3MoH PBE-GGA relaxed
data_Cu3MoH
_chemical_formula_sum 'Cu3 Mo1 H1'
_cell_length_a 4.775
_cell_length_b 4.775
_cell_length_c 4.775
_cell_angle_alpha 90.00
_cell_angle_beta 90.00
_cell_angle_gamma 90.00
_space_group_name_H-M_alt 'P m -3 m'
_space_group_IT_number 221
_space_group_name_Hall '-P 4 2 3'
loop_
_atom_site_label
_atom_site_fract_x
_atom_site_fract_y
_atom_site_fract_z
Cu1 0.000 0.000 0.500
Mo1 0.000 0.000 0.000
H1 0.500 0.500 0.500
# crystal system: cubic

#P (145.0 kJ/mol of atoms below the next structure)

#P
# Nb2CuMoH PBE-GGA relaxed
data_Nb2CuMoH
_chemical_formula_sum 'Nb2 Cu1 Mo1 H1'
_cell_length_a 4.368
_cell_length_b 4.368
_cell_length_c 3.500
_cell_angle_alpha 90.00
_cell_angle_beta 90.00
_cell_angle_gamma 90.00
_space_group_name_H-M_alt 'P 4/m m m'
_space_group_IT_number 123
_space_group_name_Hall '-P 4 2'
loop_
_atom_site_label
_atom_site_fract_x
_atom_site_fract_y
_atom_site_fract_z
Nb1 0.000 0.500 0.000
Cu1 0.000 0.000 0.500
Mo1 0.500 0.500 0.500
H1 0.000 0.000 0.000
# crystal system: tetragonal

#Q
# Nb2CuMoH PBE-GGA relaxed
data_Nb2CuMoH
_chemical_formula_sum 'Nb2 Cu1 Mo1 H1'
_cell_length_a 4.200
_cell_length_b 4.200
_cell_length_c 3.821
_cell_angle_alpha 90.00
_cell_angle_beta 90.00
_cell_angle_gamma 90.00
_space_group_name_H-M_alt 'P 4/m m m'
_space_group_IT_number 123
_space_group_name_Hall '-P 4 2'
loop_
_atom_site_label
_atom_site_fract_x
_atom_site_fract_y
_atom_site_fract_z
Nb1 0.000 0.500 0.000
Cu1 0.000 0.000 0.500
Mo1 0.500 0.500 0.500
H1 0.500 0.500 0.000
# crystal system: tetragonal

#P (3.5 kJ/mol of atoms below the next structure)